First-principles (PBE) data for a geometry-optimized Si2GePd2 structure, as listed in Alexandria.

Lattice parameters (Å, degrees): 3.682 3.682 6.615 73.84 73.84 90.00
Element x y z (fractional)
1 Ge 0.000 0.000 0.000
2 Si 0.750 0.250 0.500
3 Si 0.250 0.750 0.500
4 Pd 0.384 0.384 0.233
5 Pd 0.616 0.616 0.767

Output
Fermi-level density of states: 2.8 states/eV/f.u.
E above lowest polymorph: 0.0 meV/atom
space-group type: I4/mmm (139)
energy relative to the elements, uncorrected: -15 kJ per mole of atoms

***

First-principles (PBE) data for a geometry-optimized CaSn3 structure, as listed in Alexandria.

Lattice parameters (Å, degrees): 4.747 4.747 4.807 90.00 90.00 90.00
Element x y z (fractional)
1 Ca 0.000 0.500 0.404
2 Sn 0.000 0.000 0.909
3 Sn 0.500 0.000 0.444
4 Sn 0.500 0.500 0.909

Output
Fermi-level density of states: 1.7 states/eV/f.u.
space-group type: P4mm (99)
DFT formation energy: -0.383 eV/atom

***

First-principles (PBE) data for a geometry-optimized Be2BTe structure, as listed in Alexandria.

Lattice parameters (Å, degrees): 4.255 4.255 4.255 60.00 60.00 60.00
Element x y z (fractional)
1 Be 0.250 0.250 0.250
2 Be 0.750 0.750 0.750
3 B 0.000 0.000 0.000
4 Te 0.500 0.500 0.500

Output
Fermi-level density of states: 1.2 states/eV/f.u.
E above lowest polymorph: 921.4 meV/atom
space-group type: Fm-3m (225)
energy relative to the elements, uncorrected: 128 kJ per mole of atoms

***

First-principles (PBE) data for a geometry-optimized CsRbInHg structure, as listed in Alexandria.

Lattice parameters (Å, degrees): 6.405 6.405 6.405 60.00 60.00 60.00
Element x y z (fractional)
1 Cs 0.250 0.250 0.250
2 Hg 0.500 0.500 0.500
3 Rb 0.750 0.750 0.750
4 In 0.000 0.000 0.000

Output
Fermi-level density of states: 5.0 states/eV/f.u.
E above lowest polymorph: 158.7 meV/atom
space-group type: F-43m (216)
DFT formation energy: 0.025 eV/atom

***

First-principles (PBE) data for a geometry-optimized Ba2SrZnO4 structure, as listed in Alexandria.

Lattice parameters (Å, degrees): 3.680 6.477 13.338 90.00 90.00 106.50
Element x y z (fractional)
1 Ba 0.367 0.734 0.548
2 Ba 0.633 0.266 0.048
3 Ba 0.633 0.266 0.452
4 Ba 0.367 0.734 0.952
5 Sr 0.116 0.232 0.750
6 Sr 0.884 0.768 0.250
7 Zn 0.831 0.661 0.750
8 Zn 0.169 0.339 0.250
9 O 0.278 0.557 0.140
10 O 0.722 0.443 0.640
11 O 0.722 0.443 0.860
12 O 0.278 0.557 0.360
13 O 0.000 0.000 0.500
14 O 0.000 0.000 0.000
15 O 0.423 0.846 0.750
16 O 0.577 0.154 0.250

Output
Fermi-level density of states: 0.0 states/eV/f.u.
space-group type: Cmcm (63)
energy relative to the elements, uncorrected: -208 kJ per mole of atoms

***

First-principles (PBE) data for a geometry-optimized Rb2YRh structure, as listed in Alexandria.

Lattice parameters (Å, degrees): 5.753 5.753 5.753 60.00 60.00 60.00
Element x y z (fractional)
1 Y 0.000 0.000 0.000
2 Rh 0.500 0.500 0.500
3 Rb 0.250 0.250 0.250
4 Rb 0.750 0.750 0.750

Output
Fermi-level density of states: 2.7 states/eV/f.u.
E above lowest polymorph: 686.2 meV/atom
space-group type: Fm-3m (225)
DFT formation energy: 1.106 eV/atom

***

First-principles (PBE) data for a geometry-optimized Bi2RuPt structure, as listed in Alexandria.

Lattice parameters (Å, degrees): 6.202 6.202 7.490 65.55 65.55 90.00
Element x y z (fractional)
1 Ru 0.500 0.500 0.000
2 Ru 0.250 0.750 0.500
3 Bi 0.615 0.125 0.250
4 Bi 0.135 0.625 0.250
5 Bi 0.375 0.385 0.750
6 Bi 0.875 0.865 0.750
7 Pt 0.000 0.000 0.000
8 Pt 0.750 0.250 0.500

Output
Fermi-level density of states: 2.9 states/eV/f.u.
E above lowest polymorph: 164.4 meV/atom
space-group type: I-42d (122)
DFT formation energy: 0.473 eV/atom

***

First-principles (PBE) data for a geometry-optimized PuSnIr structure, as listed in Alexandria.

Lattice parameters (Å, degrees): 2.955 2.955 8.041 100.59 100.59 90.00
Site moments in Bohr magnetons follow the coordinates.
Element x y z (fractional)
1 Ir 0.954 0.954 0.907  -0.20
2 Sn 0.781 0.781 0.563  -0.03
3 Pu 0.115 0.115 0.230  5.42

Output
Fermi-level density of states: 5.0 states/eV/f.u.
space-group type: I4mm (107)
DFT formation energy: 0.449 eV/atom

***

First-principles (PBE) data for a geometry-optimized Ba2Os2Ru structure, as listed in Alexandria.

Lattice parameters (Å, degrees): 3.549 3.549 10.436 80.21 80.21 90.00
Element x y z (fractional)
1 Ru 0.000 0.000 0.000
2 Os 0.750 0.250 0.500
3 Os 0.250 0.750 0.500
4 Ba 0.399 0.399 0.203
5 Ba 0.601 0.601 0.797

Output
Fermi-level density of states: 6.5 states/eV/f.u.
E above lowest polymorph: 0.0 meV/atom
space-group type: I4/mmm (139)
DFT formation energy: 0.878 eV/atom

***

First-principles (PBE) data for a geometry-optimized Ba2LiTlS4 structure, as listed in Alexandria.

Lattice parameters (Å, degrees): 8.406 8.406 8.775 121.41 121.41 85.42
Element x y z (fractional)
1 Ba 0.500 0.000 0.000
2 Ba 0.500 0.000 0.500
3 Ba 0.000 0.000 0.500
4 Ba 0.500 0.500 0.000
5 Li 0.000 0.500 0.000
6 Li 0.000 0.500 0.500
7 Tl 0.500 0.500 0.500
8 Tl 0.000 0.000 0.000
9 S 0.214 0.762 0.988
10 S 0.738 0.286 0.512
11 S 0.262 0.714 0.488
12 S 0.786 0.238 0.012
13 S 0.770 0.730 0.991
14 S 0.770 0.730 0.509
15 S 0.230 0.270 0.491
16 S 0.230 0.270 0.009

Output
space-group type: C2/c (15)
energy relative to the elements, uncorrected: -115 kJ per mole of atoms

***

First-principles (PBE) data for a geometry-optimized LiGaCo2Pd structure, as listed in Alexandria.

Lattice parameters (Å, degrees): 3.984 4.166 3.984 90.00 90.00 90.00
Site moments in Bohr magnetons follow the coordinates.
Element x y z (fractional)
1 Co 0.000 0.000 0.500  1.36
2 Co 0.500 0.000 0.000  1.04
3 Ga 0.500 0.500 0.500  -0.07
4 Pd 0.000 0.500 0.000  0.01
5 Li 0.000 0.000 0.000  -0.06

Output
Fermi-level density of states: 6.0 states/eV/f.u.
space-group type: P4/mmm (123)
DFT formation energy: 0.608 eV/atom

***

First-principles (PBE) data for a geometry-optimized Cr3CdNi structure, as listed in Alexandria.

Lattice parameters (Å, degrees): 4.583 4.583 4.583 90.00 90.00 90.00
Site moments in Bohr magnetons follow the coordinates.
Element x y z (fractional)
1 Ni 0.000 0.000 0.000  0.49
2 Cr 0.000 0.500 0.000  3.33
3 Cr 0.000 0.000 0.500  3.38
4 Cr 0.500 0.000 0.000  3.44
5 Cd 0.500 0.500 0.500  -0.01

Output
Fermi-level density of states: 4.5 states/eV/f.u.
E above lowest polymorph: 0.0 meV/atom
space-group type: Pm-3m (221)
DFT formation energy: 1.050 eV/atom

***

First-principles (PBE) data for a geometry-optimized KLi3Pa2Te6 structure, as listed in Alexandria.

Lattice parameters (Å, degrees): 4.415 10.094 9.372 99.93 103.62 90.00
Site moments in Bohr magnetons follow the coordinates.
Element x y z (fractional)
1 K 0.500 0.000 0.000  0.00
2 Li 0.500 0.500 0.000  0.00
3 Li 0.844 0.265 0.689  0.00
4 Li 0.156 0.735 0.311  0.00
5 Pa 0.835 0.665 0.671  0.98
6 Pa 0.165 0.335 0.329  0.98
7 Te 0.308 0.860 0.615  -0.03
8 Te 0.663 0.556 0.326  -0.03
9 Te 0.692 0.140 0.385  -0.03
10 Te 0.000 0.280 0.001  -0.03
11 Te 0.000 0.720 0.999  -0.03
12 Te 0.337 0.444 0.674  -0.03

Output
Fermi-level density of states: 11.1 states/eV/f.u.
space-group type: C2/m (12)
energy relative to the elements, uncorrected: -87 kJ per mole of atoms

***

First-principles (PBE) data for a geometry-optimized ZrTa2SnF structure, as listed in Alexandria.

Lattice parameters (Å, degrees): 5.306 4.103 5.306 90.00 90.00 90.00
Element x y z (fractional)
1 F 0.000 0.500 0.000
2 Sn 0.000 0.000 0.000
3 Zr 0.500 0.500 0.500
4 Ta 0.000 0.000 0.500
5 Ta 0.500 0.000 0.000

Output
Fermi-level density of states: 11.3 states/eV/f.u.
space-group type: P4/mmm (123)
energy relative to the elements, uncorrected: 81 kJ per mole of atoms

***

First-principles (PBE) data for a geometry-optimized NdSmSe2 structure, as listed in Alexandria.

Lattice parameters (Å, degrees): 4.210 4.210 7.256 106.87 90.00 120.00
Element x y z (fractional)
1 Nd 0.000 0.500 0.500
2 Sm 0.500 0.500 0.000
3 Se 0.248 0.997 0.245
4 Se 0.752 0.003 0.755

Output
Fermi-level density of states: 1.9 states/eV/f.u.
E above lowest polymorph: 0.0 meV/atom
space-group type: R-3m (166)
energy relative to the elements, uncorrected: -176 kJ per mole of atoms

***

First-principles (PBE) data for a geometry-optimized NaIrI3 structure, as listed in Alexandria.

Lattice parameters (Å, degrees): 5.513 5.513 5.513 90.00 90.00 90.00
Element x y z (fractional)
1 I 0.000 0.500 0.000
2 I 0.000 0.000 0.500
3 I 0.500 0.000 0.000
4 Na 0.500 0.500 0.500
5 Ir 0.000 0.000 0.000

Output
Fermi-level density of states: 4.3 states/eV/f.u.
E above lowest polymorph: 0.0 meV/atom
space-group type: Pm-3m (221)
energy relative to the elements, uncorrected: -11 kJ per mole of atoms

***

First-principles (PBE) data for a geometry-optimized ZrMnSiHg2 structure, as listed in Alexandria.

Lattice parameters (Å, degrees): 5.489 5.079 5.489 90.00 90.00 90.00
Site moments in Bohr magnetons follow the coordinates.
Element x y z (fractional)
1 Si 0.000 0.500 0.000  -0.02
2 Mn 0.500 0.500 0.500  4.48
3 Hg 0.000 0.000 0.500  -0.01
4 Hg 0.500 0.000 0.000  -0.01
5 Zr 0.000 0.000 0.000  -0.12

Output
Fermi-level density of states: 4.3 states/eV/f.u.
space-group type: P4/mmm (123)
energy relative to the elements, uncorrected: 97 kJ per mole of atoms

***

First-principles (PBE) data for a geometry-optimized RbPuCd10 structure, as listed in Alexandria.

Lattice parameters (Å, degrees): 4.864 6.178 10.555 90.00 90.00 90.00
Site moments in Bohr magnetons follow the coordinates.
Element x y z (fractional)
1 Rb 0.000 0.000 0.000  0.00
2 Pu 0.000 0.500 0.500  5.60
3 Cd 0.000 0.000 0.339  0.00
4 Cd 0.000 0.500 0.827  0.00
5 Cd 0.000 0.500 0.173  0.00
6 Cd 0.000 0.000 0.661  0.00
7 Cd 0.500 0.000 0.500  -0.01
8 Cd 0.500 0.500 0.000  0.00
9 Cd 0.500 0.266 0.273  0.00
10 Cd 0.500 0.734 0.727  0.00
11 Cd 0.500 0.734 0.273  0.00
12 Cd 0.500 0.266 0.727  0.00

Output
Fermi-level density of states: 19.2 states/eV/f.u.
space-group type: Pmmm (47)
DFT formation energy: -0.008 eV/atom

***

First-principles (PBE) data for a geometry-optimized AlAgI4 structure, as listed in Alexandria.

Lattice parameters (Å, degrees): 6.740 6.740 11.645 90.00 90.00 90.00
Element x y z (fractional)
1 Al 0.000 0.500 0.250
2 Al 0.500 0.000 0.750
3 Ag 0.000 0.000 0.000
4 Ag 0.000 0.000 0.500
5 I 0.284 0.232 0.873
6 I 0.716 0.768 0.873
7 I 0.232 0.284 0.373
8 I 0.284 0.768 0.627
9 I 0.716 0.232 0.627
10 I 0.232 0.716 0.127
11 I 0.768 0.284 0.127
12 I 0.768 0.716 0.373

Output
Fermi-level density of states: 0.0 states/eV/f.u.
E above lowest polymorph: 0.0 meV/atom
space-group type: P-42c (112)
energy relative to the elements, uncorrected: -53 kJ per mole of atoms

***

First-principles (PBE) data for a geometry-optimized CaAs2Se2 structure, as listed in Alexandria.

Lattice parameters (Å, degrees): 7.822 7.822 3.970 90.00 90.00 90.00
Element x y z (fractional)
1 As 0.365 0.865 0.000
2 As 0.865 0.635 0.000
3 As 0.635 0.135 0.000
4 As 0.135 0.365 0.000
5 Ca 0.000 0.000 0.000
6 Ca 0.500 0.500 0.000
7 Se 0.220 0.720 0.500
8 Se 0.720 0.780 0.500
9 Se 0.780 0.280 0.500
10 Se 0.280 0.220 0.500

Output
Fermi-level density of states: 1.0 states/eV/f.u.
E above lowest polymorph: 0.0 meV/atom
space-group type: P4/mbm (127)
energy relative to the elements, uncorrected: -41 kJ per mole of atoms